[1]
# Ca3Au (PBE, optimized geometry)
# V	30.00	Å³ per atom
# total DFT energy (no corrections)	-2.59	eV per atom
# crystal system	hexagonal
# ρ	4.39	g cm⁻³
data_Ca3Au
_chemical_formula_sum 'Ca12 Au4'
_space_group_name_H-M_alt 'P 63/m m c'
_space_group_IT_number 194
_space_group_name_Hall '-P 6c 2c'
_cell_length_a 7.0243
_cell_length_b 7.0243
_cell_length_c 11.2314
_cell_angle_alpha 90.00
_cell_angle_beta 90.00
_cell_angle_gamma 120.00
loop_
_atom_site_label
_atom_site_type_symbol
_atom_site_fract_x
_atom_site_fract_y
_atom_site_fract_z
Ca1 Ca 0.0000 0.5000 0.0000
Ca2 Ca 0.1607 0.3215 0.2500
Au1 Au 0.0000 0.0000 0.0000
Au2 Au 0.3333 0.6667 0.7500

=====

[2]
# CaAu5 (PBE, optimized geometry)
# V	19.79	Å³ per atom
# total DFT energy (no corrections)	-3.37	eV per atom
# crystal system	tetragonal
# ρ	14.34	g cm⁻³
data_CaAu5
_chemical_formula_sum 'Ca1 Au5'
_space_group_name_H-M_alt 'P 4/m m m'
_space_group_IT_number 123
_space_group_name_Hall '-P 4 2'
_cell_length_a 3.683
_cell_length_b 3.683
_cell_length_c 8.752
_cell_angle_alpha 90.00
_cell_angle_beta 90.00
_cell_angle_gamma 90.00
loop_
_atom_site_label
_atom_site_type_symbol
_atom_site_fract_x
_atom_site_fract_y
_atom_site_fract_z
Ca1 Ca 0.000 0.000 0.000
Au1 Au 0.000 0.000 0.339
Au2 Au 0.500 0.500 0.177
Au3 Au 0.500 0.500 0.500

=====

[3]
# Ca2Au (PBE, optimized geometry)
# V	34.48	Å³ per atom
# total DFT energy (no corrections)	-2.93	eV per atom
# crystal system	trigonal
# ρ	4.45	g cm⁻³
data_Ca2Au
_chemical_formula_sum 'Ca2 Au1'
_space_group_name_H-M_alt 'P -3 m 1'
_space_group_IT_number 164
_space_group_name_Hall '-P 3 2"'
_cell_length_a 4.2925
_cell_length_b 4.2925
_cell_length_c 6.4828
_cell_angle_alpha 90.00
_cell_angle_beta 90.00
_cell_angle_gamma 120.00
loop_
_atom_site_label
_atom_site_type_symbol
_atom_site_fract_x
_atom_site_fract_y
_atom_site_fract_z
Ca1 Ca 0.3333 0.6667 0.2500
Au1 Au 0.0000 0.0000 0.0000

=====

[4]
# CaAu4 (PBE, optimized geometry)
# V	21.80	Å³ per atom
# total DFT energy (no corrections)	-3.44	eV per atom
# crystal system	tetragonal
# ρ	12.61	g cm⁻³
data_CaAu4
_chemical_formula_sum 'Ca2 Au8'
_space_group_name_H-M_alt 'I 4/m m m'
_space_group_IT_number 139
_space_group_name_Hall '-I 4 2'
_cell_length_a 4.004
_cell_length_b 4.004
_cell_length_c 13.602
_cell_angle_alpha 90.00
_cell_angle_beta 90.00
_cell_angle_gamma 90.00
loop_
_atom_site_label
_atom_site_type_symbol
_atom_site_fract_x
_atom_site_fract_y
_atom_site_fract_z
Ca1 Ca 0.000 0.000 0.000
Au1 Au 0.000 0.000 0.401
Au2 Au 0.000 0.500 0.250

=====

Q: ρ of number 4 (CaAu4)?
A: 12.61 g cm⁻³